Cs3Rb3Na8 | PBE | relaxed

Calculated values
E_form   35 meV per atom
Total DFT energy (no corrections)   -1.1092 eV/atom
DOS at the Fermi energy   0.609 states/eV/atom

The structure in POSCAR format:
```
Cs3Rb3Na8
1.0
-2.9062 7.7808 9.7899
2.9062 -7.7808 9.7899
2.9062 7.7808 -9.7899
Na Cs Rb
8 3 3
direct
0.9399 0.6791 0.2608
0.4534 0.8380 0.6154
0.4184 0.6791 0.7392
0.0601 0.3209 0.7392
0.5466 0.1620 0.3846
0.2225 0.8380 0.3846
0.5816 0.3209 0.2608
0.7775 0.1620 0.6154
0.2024 0.2024 0.0000
0.5000 0.5000 0.0000
0.7976 0.7976 0.0000
0.0000 0.5000 0.5000
0.2284 0.0000 0.2284
0.7716 0.0000 0.7716
```